No. 1
{"formula": "ScAlO2F", "functional": "PBE", "state": "optimized geometry", "cell": [[4.121, 0.000, 0.000], [0.000, 4.121, 0.000], [0.000, 0.000, 3.956]], "species": ["Sc", "Al", "O", "O", "F"], "frac_coords": [[0.000, 0.000, 0.000], [0.500, 0.500, 0.500], [0.000, 0.500, 0.000], [0.500, 0.000, 0.000], [0.000, 0.000, 0.500]], "magnetic_moment_mub_per_atom": 0.00, "raw_formation_energy_kcal_per_mol_atoms": -49.4, "dos_ef_per_ev_cell": 2.304, "final_energy_ev_per_atom": -6.52, "volume_a3_per_cell": 67.17}

---

No. 2
{"formula": "ScAlO2F", "functional": "PBE", "state": "optimized geometry", "cell": [[3.742, 0.000, 0.000], [0.000, 3.742, 0.000], [0.000, 0.000, 3.647]], "species": ["Sc", "Al", "O", "O", "F"], "frac_coords": [[0.000, 0.000, 0.000], [0.500, 0.500, 0.500], [0.000, 0.500, 0.500], [0.500, 0.000, 0.500], [0.500, 0.500, 0.000]], "magnetic_moment_mub_per_atom": 0.17, "raw_formation_energy_kcal_per_mol_atoms": -61.2, "dos_ef_per_ev_cell": 2.492, "final_energy_ev_per_atom": -7.02, "volume_a3_per_cell": 51.08}

---

No. 3
{"formula": "AlSeOF2", "functional": "PBE", "state": "optimized geometry", "cell": [[3.584, 0.000, 0.000], [0.000, 3.584, 0.000], [0.000, 0.000, 4.564]], "species": ["Al", "Se", "O", "F", "F"], "frac_coords": [[0.000, 0.000, 0.000], [0.500, 0.500, 0.500], [0.000, 0.000, 0.500], [0.000, 0.500, 0.000], [0.500, 0.000, 0.000]], "magnetic_moment_mub_per_atom": 0.00, "polymorph_energy_mev_per_atom": 0, "raw_formation_energy_kcal_per_mol_atoms": -38.7, "dos_ef_per_ev_cell": 1.375, "final_energy_ev_per_atom": -4.86, "volume_a3_per_cell": 58.65}

---

No. 4
{"formula": "AlSeO2F", "functional": "PBE", "state": "optimized geometry", "cell": [[3.925, 0.000, 0.000], [0.000, 3.925, 0.000], [0.000, 0.000, 4.540]], "species": ["Al", "Se", "O", "O", "F"], "frac_coords": [[0.000, 0.000, 0.000], [0.500, 0.500, 0.500], [0.000, 0.500, 0.500], [0.500, 0.000, 0.500], [0.500, 0.500, 0.000]], "magnetic_moment_mub_per_atom": 0.00, "raw_formation_energy_kcal_per_mol_atoms": -10.9, "dos_ef_per_ev_cell": 1.932, "final_energy_ev_per_atom": -4.28, "volume_a3_per_cell": 69.94}

---

No. 5
{"formula": "AlSeOF2", "functional": "PBE", "state": "optimized geometry", "cell": [[4.605, 0.000, 0.000], [0.000, 4.605, 0.000], [0.000, 0.000, 3.804]], "species": ["Al", "Se", "O", "F", "F"], "frac_coords": [[0.000, 0.000, 0.000], [0.500, 0.500, 0.500], [0.500, 0.500, 0.000], [0.000, 0.500, 0.500], [0.500, 0.000, 0.500]], "magnetic_moment_mub_per_atom": 0.00, "polymorph_energy_mev_per_atom": 955, "raw_formation_energy_kcal_per_mol_atoms": -16.7, "dos_ef_per_ev_cell": 1.016, "final_energy_ev_per_atom": -3.91, "volume_a3_per_cell": 80.68}

---

No. 6
{"formula": "AlSeO2F", "functional": "PBE", "state": "optimized geometry", "cell": [[3.851, 0.000, 0.000], [0.000, 3.851, 0.000], [0.000, 0.000, 3.617]], "species": ["Al", "Se", "O", "O", "F"], "frac_coords": [[0.000, 0.000, 0.000], [0.500, 0.500, 0.500], [0.000, 0.500, 0.000], [0.500, 0.000, 0.000], [0.000, 0.000, 0.500]], "magnetic_moment_mub_per_atom": 0.00, "raw_formation_energy_kcal_per_mol_atoms": -33.1, "dos_ef_per_ev_cell": 2.687, "final_energy_ev_per_atom": -5.24, "volume_a3_per_cell": 53.64}

---

No. 7
{"formula": "Al2SiO4F2", "functional": "PBE", "state": "optimized geometry", "cell": [[8.887, 0.000, 0.000], [0.000, 8.496, 0.000], [0.000, 0.000, 4.707]], "species": ["Al", "Al", "Al", "Al", "Al", "Al", "Al", "Al", "Si", "Si", "Si", "Si", "O", "O", "O", "O", "O", "O", "O", "O", "O", "O", "O", "O", "O", "O", "O", "O", "F", "F", "F", "F", "F", "F", "F", "F"], "frac_coords": [[0.130, 0.083, 0.097], [0.130, 0.417, 0.097], [0.370, 0.583, 0.597], [0.370, 0.917, 0.597], [0.630, 0.083, 0.403], [0.630, 0.417, 0.403], [0.870, 0.583, 0.903], [0.870, 0.917, 0.903], [0.060, 0.750, 0.396], [0.440, 0.250, 0.896], [0.560, 0.750, 0.104], [0.940, 0.250, 0.604], [0.011, 0.593, 0.208], [0.011, 0.907, 0.208], [0.033, 0.250, 0.299], [0.244, 0.750, 0.460], [0.256, 0.250, 0.960], [0.467, 0.750, 0.799], [0.489, 0.093, 0.708], [0.489, 0.407, 0.708], [0.511, 0.593, 0.292], [0.511, 0.907, 0.292], [0.533, 0.250, 0.201], [0.744, 0.750, 0.040], [0.756, 0.250, 0.540], [0.967, 0.750, 0.701], [0.989, 0.093, 0.792], [0.989, 0.407, 0.792], [0.248, 0.556, 0.901], [0.248, 0.944, 0.901], [0.252, 0.056, 0.401], [0.252, 0.444, 0.401], [0.748, 0.556, 0.599], [0.748, 0.944, 0.599], [0.752, 0.056, 0.099], [0.752, 0.444, 0.099]], "magnetic_moment_mub_per_atom": 0.00, "raw_formation_energy_kcal_per_mol_atoms": -72.1, "dos_ef_per_ev_cell": 0.000, "final_energy_ev_per_atom": -7.18, "volume_a3_per_cell": 355.40}

---

No. 8
{"formula": "AlSnOF2", "functional": "PBE", "state": "optimized geometry", "cell": [[4.325, 0.000, 0.000], [0.000, 4.325, 0.000], [0.000, 0.000, 3.510]], "species": ["Al", "Sn", "O", "F", "F"], "frac_coords": [[0.000, 0.000, 0.000], [0.500, 0.500, 0.500], [0.000, 0.000, 0.500], [0.000, 0.500, 0.000], [0.500, 0.000, 0.000]], "magnetic_moment_mub_per_atom": 0.00, "polymorph_energy_mev_per_atom": 0, "raw_formation_energy_kcal_per_mol_atoms": -47.3, "dos_ef_per_ev_cell": 2.146, "final_energy_ev_per_atom": -5.34, "volume_a3_per_cell": 65.65}